[1]
DFT (GGA-PBE) results for a relaxed DyEr4Th4 crystal.

It has space group I4/mmm (No. 139), with a = 10.630 Å, b = 10.630 Å, c = 5.025 Å, α = 90.00°, β = 90.00° and γ = 90.00°. The asymmetric unit holds Dy at (0.000, 0.000, 0.000), Er at (0.000, 0.331, 0.000) and Th at (0.166, 0.166, 0.500).

Its total magnetization is 0.000 μB per formula unit. For the energy of formation, the calculation gives 0.04 eV per atom.

***

[2]
DFT (GGA-PBE) results for a relaxed AlMoAuCl2 crystal.

It has space group P4/mmm (No. 123), with a = 5.357 Å, b = 5.357 Å, c = 4.870 Å, α = 90.00°, β = 90.00° and γ = 90.00°. The asymmetric unit holds Al at (0.000, 0.000, 0.000), Mo at (0.500, 0.500, 0.000), Au at (0.000, 0.000, 0.500) and Cl at (0.000, 0.500, 0.500).

The energy relative to the elements, uncorrected is 0.91 eV/atom. Its total magnetization is 5.324 μB per formula unit.

***

Which formula does entry 2 have?
AlMoAuCl2

***

Which formula does entry 1 have?
DyEr4Th4